[1]
# KCoRuBr6, relaxed, DFT PBE
data_KCoRuBr6
_chemical_formula_sum 'K1 Co1 Ru1 Br6'
_symmetry_space_group_name_H-M 'P 3 1 2'
_symmetry_Int_Tables_number 149
_symmetry_space_group_name_Hall 'P 3 2'
_cell_length_a 6.4877
_cell_length_b 6.4877
_cell_length_c 7.4698
_cell_angle_alpha 90.00
_cell_angle_beta 90.00
_cell_angle_gamma 120.00
loop_
_atom_site_label
_atom_site_type_symbol
_atom_site_fract_x
_atom_site_fract_y
_atom_site_fract_z
K1 K 0.0000 0.0000 0.0000
Co1 Co 0.3333 0.6667 0.5000
Ru1 Ru 0.6667 0.3333 0.5000
Br1 Br 0.0085 0.3667 0.6839
# VASP energy: -3.609 eV per atom
# energy relative to the elements, uncorrected: -551.3 meV per atom

---

[2]
# Cs2AuI2, relaxed, DFT PBE
data_Cs2AuI2
_chemical_formula_sum 'Cs4 Au2 I4'
_symmetry_space_group_name_H-M 'P 4/m b m'
_symmetry_Int_Tables_number 127
_symmetry_space_group_name_Hall '-P 4 2ab'
_cell_length_a 9.447
_cell_length_b 9.447
_cell_length_c 5.301
_cell_angle_alpha 90.00
_cell_angle_beta 90.00
_cell_angle_gamma 90.00
loop_
_atom_site_label
_atom_site_type_symbol
_atom_site_fract_x
_atom_site_fract_y
_atom_site_fract_z
Cs1 Cs 0.150 0.350 0.000
Au1 Au 0.000 0.000 0.500
I1 I 0.163 0.663 0.500
# VASP energy: -2.396 eV per atom
# energy relative to the elements, uncorrected: -779.0 meV per atom
# energy relative to the lowest polymorph listed for this composition: 0.014 eV/atom

---

[3]
# KLaO2, relaxed, DFT PBE
data_KLaO2
_chemical_formula_sum 'K4 La4 O8'
_symmetry_space_group_name_H-M 'F m -3 m'
_symmetry_Int_Tables_number 225
_symmetry_space_group_name_Hall '-F 4 2 3'
_cell_length_a 6.200
_cell_length_b 6.200
_cell_length_c 6.200
_cell_angle_alpha 90.00
_cell_angle_beta 90.00
_cell_angle_gamma 90.00
loop_
_atom_site_label
_atom_site_type_symbol
_atom_site_fract_x
_atom_site_fract_y
_atom_site_fract_z
K1 K 0.000 0.000 0.000
La1 La 0.000 0.000 0.500
O1 O 0.250 0.250 0.250
# VASP energy: -6.189 eV per atom
# energy relative to the elements, uncorrected: -2203.8 meV per atom